Computed, not measured: a relaxed structure of CePuIr2 at the PBE level of DFT.

Calculated values
- Space-group type: P4/mmm
- Total DFT energy (no corrections): -40.2 eV/cell
- Formation enthalpy at 0 K: -2.2 eV per formula unit

Geometry as CIF:
```
data_CePuIr2
_chemical_formula_sum 'Ce1 Pu1 Ir2'
_symmetry_space_group_name_H-M 'P 1'
_symmetry_Int_Tables_number 1
_cell_length_a 4.8591
_cell_length_b 4.8591
_cell_length_c 3.5152
_cell_angle_alpha 90.00
_cell_angle_beta 90.00
_cell_angle_gamma 90.00
loop_
_symmetry_equiv_pos_as_xyz
'x,y,z'
loop_
_atom_site_label
_atom_site_type_symbol
_atom_site_fract_x
_atom_site_fract_y
_atom_site_fract_z
Ce1 Ce 0.0000 0.0000 0.0000
Pu1 Pu 0.5000 0.5000 0.0000
Ir1 Ir 0.0000 0.5000 0.5000
Ir2 Ir 0.5000 0.0000 0.5000
```



Computed, not measured: a relaxed structure of Ce3PuIr8 at the PBE level of DFT.

Calculated values
- Space-group type: R3m
- Total DFT energy (no corrections): -111.8 eV/cell
- Formation enthalpy at 0 K: -8.8 eV per formula unit

Geometry as CIF:
```
data_Ce3PuIr8
_chemical_formula_sum 'Ce3 Pu1 Ir8'
_symmetry_space_group_name_H-M 'P 1'
_symmetry_Int_Tables_number 1
_cell_length_a 9.3262
_cell_length_b 9.3262
_cell_length_c 9.3262
_cell_angle_alpha 33.59
_cell_angle_beta 33.59
_cell_angle_gamma 33.59
loop_
_symmetry_equiv_pos_as_xyz
'x,y,z'
loop_
_atom_site_label
_atom_site_type_symbol
_atom_site_fract_x
_atom_site_fract_y
_atom_site_fract_z
Ce1 Ce 0.0000 0.0000 0.0000
Ce2 Ce 0.1261 0.1261 0.1261
Ce3 Ce 0.5043 0.5043 0.5043
Pu1 Pu 0.6282 0.6282 0.6282
Ir1 Ir 0.0650 0.0650 0.5634
Ir2 Ir 0.0650 0.5635 0.0650
Ir3 Ir 0.0652 0.5645 0.5645
Ir4 Ir 0.3145 0.3145 0.3145
Ir5 Ir 0.5634 0.0650 0.0650
Ir6 Ir 0.5645 0.0652 0.5645
Ir7 Ir 0.5645 0.5645 0.0652
Ir8 Ir 0.8145 0.8145 0.8145
```



Computed, not measured: a relaxed structure of CePu3Ir3 at the PBE level of DFT.

Calculated values
- Space-group type: C2/m
- Total DFT energy (no corrections): -156.1 eV/cell
- Formation enthalpy at 0 K: -2.6 eV per formula unit

Geometry as CIF:
```
data_CePu3Ir3
_chemical_formula_sum 'Ce2 Pu6 Ir6'
_symmetry_space_group_name_H-M 'P 1'
_symmetry_Int_Tables_number 1
_cell_length_a 6.8176
_cell_length_b 6.8176
_cell_length_c 7.0003
_cell_angle_alpha 90.98
_cell_angle_beta 90.98
_cell_angle_gamma 98.61
loop_
_symmetry_equiv_pos_as_xyz
'x,y,z'
loop_
_atom_site_label
_atom_site_type_symbol
_atom_site_fract_x
_atom_site_fract_y
_atom_site_fract_z
Ce1 Ce 0.2387 0.2387 0.1146
Ce2 Ce 0.7613 0.7613 0.8854
Pu1 Pu 0.1586 0.1586 0.5925
Pu2 Pu 0.2526 0.7474 0.0000
Pu3 Pu 0.3193 0.6807 0.5000
Pu4 Pu 0.6807 0.3193 0.5000
Pu5 Pu 0.7474 0.2526 0.0000
Pu6 Pu 0.8414 0.8414 0.4075
Ir1 Ir 0.0020 0.4943 0.7338
Ir2 Ir 0.4335 0.4335 0.7996
Ir3 Ir 0.4943 0.0020 0.7338
Ir4 Ir 0.5057 0.9980 0.2662
Ir5 Ir 0.5665 0.5665 0.2004
Ir6 Ir 0.9980 0.5057 0.2662
```



Computed, not measured: a relaxed structure of Ce2PuIr at the PBE level of DFT.

Calculated values
- Space-group type: P-1
- Total DFT energy (no corrections): -72.6 eV/cell
- Energy above the lowest structure with this stoichiometry: 5 meV per atom
- Formation enthalpy at 0 K: -1.3 eV per formula unit

Geometry as CIF:
```
data_Ce2PuIr
_chemical_formula_sum 'Ce4 Pu2 Ir2'
_symmetry_space_group_name_H-M 'P 1'
_symmetry_Int_Tables_number 1
_cell_length_a 6.2087
_cell_length_b 6.2461
_cell_length_c 6.3186
_cell_angle_alpha 97.05
_cell_angle_beta 110.03
_cell_angle_gamma 118.44
loop_
_symmetry_equiv_pos_as_xyz
'x,y,z'
loop_
_atom_site_label
_atom_site_type_symbol
_atom_site_fract_x
_atom_site_fract_y
_atom_site_fract_z
Ce1 Ce 0.0604 0.2022 0.2929
Ce2 Ce 0.4036 0.7054 0.0991
Ce3 Ce 0.5964 0.2946 0.9009
Ce4 Ce 0.9396 0.7978 0.7071
Pu1 Pu 0.4413 0.7146 0.6531
Pu2 Pu 0.5587 0.2854 0.3469
Ir1 Ir 0.0532 0.7394 0.2932
Ir2 Ir 0.9468 0.2606 0.7068
```



Computed, not measured: a relaxed structure of Ce8PuIr2 at the PBE level of DFT.

Calculated values
- Space-group type: C2/m
- Total DFT energy (no corrections): -82.2 eV/cell
- Energy above the lowest structure with this stoichiometry: 77 meV per atom
- Formation enthalpy at 0 K: -2.6 eV per formula unit

Geometry as CIF:
```
data_Ce8PuIr2
_chemical_formula_sum 'Ce8 Pu1 Ir2'
_symmetry_space_group_name_H-M 'P 1'
_symmetry_Int_Tables_number 1
_cell_length_a 7.4761
_cell_length_b 7.4761
_cell_length_c 5.8890
_cell_angle_alpha 101.51
_cell_angle_beta 101.51
_cell_angle_gamma 115.71
loop_
_symmetry_equiv_pos_as_xyz
'x,y,z'
loop_
_atom_site_label
_atom_site_type_symbol
_atom_site_fract_x
_atom_site_fract_y
_atom_site_fract_z
Ce1 Ce 0.0999 0.3212 0.5961
Ce2 Ce 0.2011 0.7989 0.0000
Ce3 Ce 0.3212 0.0999 0.5961
Ce4 Ce 0.3515 0.3515 0.1712
Ce5 Ce 0.6485 0.6485 0.8288
Ce6 Ce 0.6788 0.9001 0.4039
Ce7 Ce 0.7989 0.2011 0.0000
Ce8 Ce 0.9001 0.6788 0.4039
Pu1 Pu 0.0000 0.0000 0.0000
Ir1 Ir 0.3004 0.6996 0.5000
Ir2 Ir 0.6996 0.3004 0.5000
```



Computed, not measured: a relaxed structure of Ce4PuIr at the PBE level of DFT.

Calculated values
- Space-group type: Cmc2_1
- Total DFT energy (no corrections): -95.6 eV/cell
- Energy above the lowest structure with this stoichiometry: 34 meV per atom
- Formation enthalpy at 0 K: -0.9 eV per formula unit

Geometry as CIF:
```
data_Ce4PuIr
_chemical_formula_sum 'Ce8 Pu2 Ir2'
_symmetry_space_group_name_H-M 'P 1'
_symmetry_Int_Tables_number 1
_cell_length_a 9.4068
_cell_length_b 9.4068
_cell_length_c 6.2826
_cell_angle_alpha 90.00
_cell_angle_beta 90.00
_cell_angle_gamma 146.63
loop_
_symmetry_equiv_pos_as_xyz
'x,y,z'
loop_
_atom_site_label
_atom_site_type_symbol
_atom_site_fract_x
_atom_site_fract_y
_atom_site_fract_z
Ce1 Ce 0.0563 0.9437 0.5000
Ce2 Ce 0.2039 0.7961 0.3420
Ce3 Ce 0.2343 0.7657 0.7717
Ce4 Ce 0.4228 0.5772 0.5853
Ce5 Ce 0.5772 0.4228 0.0853
Ce6 Ce 0.7657 0.2343 0.2717
Ce7 Ce 0.7961 0.2039 0.8420
Ce8 Ce 0.9437 0.0563 0.0000
Pu1 Pu 0.3792 0.6208 0.1415
Pu2 Pu 0.6208 0.3792 0.6415
Ir1 Ir 0.0947 0.9053 0.9822
Ir2 Ir 0.9053 0.0947 0.4822
```



Computed, not measured: a relaxed structure of Ce2PuIr2 at the PBE level of DFT.

Calculated values
- Space-group type: P4/mbm
- Total DFT energy (no corrections): -93.7 eV/cell
- Energy above the lowest structure with this stoichiometry: 0 meV per atom
- Formation enthalpy at 0 K: -2.9 eV per formula unit

Geometry as CIF:
```
data_Ce2PuIr2
_chemical_formula_sum 'Ce4 Pu2 Ir4'
_symmetry_space_group_name_H-M 'P 1'
_symmetry_Int_Tables_number 1
_cell_length_a 7.6587
_cell_length_b 7.6587
_cell_length_c 3.9353
_cell_angle_alpha 90.00
_cell_angle_beta 90.00
_cell_angle_gamma 90.00
loop_
_symmetry_equiv_pos_as_xyz
'x,y,z'
loop_
_atom_site_label
_atom_site_type_symbol
_atom_site_fract_x
_atom_site_fract_y
_atom_site_fract_z
Ce1 Ce 0.1632 0.3368 0.0000
Ce2 Ce 0.3368 0.8368 0.0000
Ce3 Ce 0.6632 0.1632 0.0000
Ce4 Ce 0.8368 0.6632 0.0000
Pu1 Pu 0.0000 0.0000 0.5000
Pu2 Pu 0.5000 0.5000 0.5000
Ir1 Ir 0.1406 0.6406 0.5000
Ir2 Ir 0.3594 0.1406 0.5000
Ir3 Ir 0.6406 0.8594 0.5000
Ir4 Ir 0.8594 0.3594 0.5000
```



Computed, not measured: a relaxed structure of Ce4PuIr5 at the PBE level of DFT.

Calculated values
- Space-group type: I4/m
- Total DFT energy (no corrections): -88.7 eV/cell
- Formation enthalpy at 0 K: -6.3 eV per formula unit

Geometry as CIF:
```
data_Ce4PuIr5
_chemical_formula_sum 'Ce4 Pu1 Ir5'
_symmetry_space_group_name_H-M 'P 1'
_symmetry_Int_Tables_number 1
_cell_length_a 6.9712
_cell_length_b 6.9712
_cell_length_c 6.9712
_cell_angle_alpha 99.54
_cell_angle_beta 99.54
_cell_angle_gamma 131.94
loop_
_symmetry_equiv_pos_as_xyz
'x,y,z'
loop_
_atom_site_label
_atom_site_type_symbol
_atom_site_fract_x
_atom_site_fract_y
_atom_site_fract_z
Ce1 Ce 0.0986 0.2999 0.3985
Ce2 Ce 0.2999 0.9014 0.2012
Ce3 Ce 0.7001 0.0986 0.7988
Ce4 Ce 0.9014 0.7001 0.6015
Pu1 Pu 0.5000 0.5000 0.0000
Ir1 Ir 0.0000 0.0000 0.0000
Ir2 Ir 0.2033 0.5989 0.8022
Ir3 Ir 0.4011 0.2033 0.6044
Ir4 Ir 0.5989 0.7967 0.3956
Ir5 Ir 0.7967 0.4011 0.1978
```



Computed, not measured: a relaxed structure of Ce2PuIr at the PBE level of DFT.

Calculated values
- Space-group type: Fm-3m
- Total DFT energy (no corrections): -36.0 eV/cell
- Energy above the lowest structure with this stoichiometry: 74 meV per atom
- Formation enthalpy at 0 K: -1.0 eV per formula unit

Geometry as CIF:
```
data_Ce2PuIr
_chemical_formula_sum 'Ce2 Pu1 Ir1'
_symmetry_space_group_name_H-M 'P 1'
_symmetry_Int_Tables_number 1
_cell_length_a 5.0410
_cell_length_b 5.0410
_cell_length_c 5.0410
_cell_angle_alpha 60.00
_cell_angle_beta 60.00
_cell_angle_gamma 60.00
loop_
_symmetry_equiv_pos_as_xyz
'x,y,z'
loop_
_atom_site_label
_atom_site_type_symbol
_atom_site_fract_x
_atom_site_fract_y
_atom_site_fract_z
Ce1 Ce 0.2500 0.2500 0.2500
Ce2 Ce 0.7500 0.7500 0.7500
Pu1 Pu 0.0000 0.0000 0.0000
Ir1 Ir 0.5000 0.5000 0.5000
```



Computed, not measured: a relaxed structure of Ce4PuIr2 at the PBE level of DFT.

Calculated values
- Space-group type: Cm
- Total DFT energy (no corrections): -117.0 eV/cell
- Formation enthalpy at 0 K: -2.7 eV per formula unit

Geometry as CIF:
```
data_Ce4PuIr2
_chemical_formula_sum 'Ce8 Pu2 Ir4'
_symmetry_space_group_name_H-M 'P 1'
_symmetry_Int_Tables_number 1
_cell_length_a 7.4393
_cell_length_b 7.4393
_cell_length_c 7.1753
_cell_angle_alpha 109.20
_cell_angle_beta 109.20
_cell_angle_gamma 78.01
loop_
_symmetry_equiv_pos_as_xyz
'x,y,z'
loop_
_atom_site_label
_atom_site_type_symbol
_atom_site_fract_x
_atom_site_fract_y
_atom_site_fract_z
Ce1 Ce 0.0000 0.0000 0.0000
Ce2 Ce 0.0072 0.5272 0.6897
Ce3 Ce 0.0348 0.4616 0.1747
Ce4 Ce 0.4616 0.0348 0.1747
Ce5 Ce 0.4859 0.4859 0.0451
Ce6 Ce 0.5059 0.5059 0.5555
Ce7 Ce 0.5272 0.0072 0.6897
Ce8 Ce 0.9934 0.9934 0.4918
Pu1 Pu 0.7059 0.7059 0.4731
Pu2 Pu 0.8037 0.8037 0.0987
Ir1 Ir 0.2138 0.2138 0.8626
Ir2 Ir 0.2455 0.2455 0.4619
Ir3 Ir 0.2703 0.7641 0.2736
Ir4 Ir 0.7641 0.2703 0.2736
```